1.
Y2MnV | GGA-PBE | relaxed Values from VASP.

Results
SG ... Fm-3m, No. 225
Energy ... -7.456 eV per atom
Total magnetic moment ... 6.35 Bohr magnetons per cell
Calculated volume ... 22.7 Å³ per atom

The structure in Quantum ESPRESSO input format:
```
&SYSTEM
  ibrav = 0, nat = 4, ntyp = 3
/
ATOMIC_SPECIES
Y 88.91 Y.upf
Mn 54.94 Mn.upf
V 50.94 V.upf
CELL_PARAMETERS angstrom
3.917 -1.226 2.940
1.923 3.405 3.192
-0.654 -0.553 4.975
ATOMIC_POSITIONS crystal
Y 0.750 0.750 0.750
Y 0.250 0.250 0.250
Mn 0.500 0.500 0.500
V 0.000 0.000 0.000
```

2.
YMnV2 | GGA-PBE | relaxed Values from VASP.

Results
SG ... I4_1/amd, No. 141
Energy ... -7.655 eV per atom
Total magnetic moment ... 1.85 Bohr magnetons per cell
Calculated volume ... 20.6 Å³ per atom

The structure in Quantum ESPRESSO input format:
```
&SYSTEM
  ibrav = 0, nat = 8, ntyp = 3
/
ATOMIC_SPECIES
Y 88.91 Y.upf
V 50.94 V.upf
Mn 54.94 Mn.upf
CELL_PARAMETERS angstrom
4.383 0.000 0.000
0.000 4.383 0.000
2.192 2.192 8.576
ATOMIC_POSITIONS crystal
Y 0.750 0.250 0.500
Y 0.000 0.000 0.000
V 0.375 0.125 0.250
V 0.375 0.625 0.250
V 0.375 0.625 0.750
V 0.875 0.625 0.750
Mn 0.500 0.500 0.000
Mn 0.250 0.750 0.500
```

3.
YMnV2 | GGA-PBE | relaxed Values from VASP.

Results
SG ... R-3m, No. 166
Energy ... -8.188 eV per atom
Total magnetic moment ... 0.00 Bohr magnetons per cell
Calculated volume ... 18.4 Å³ per atom

The structure in Quantum ESPRESSO input format:
```
&SYSTEM
  ibrav = 0, nat = 4, ntyp = 3
/
ATOMIC_SPECIES
Y 88.91 Y.upf
V 50.94 V.upf
Mn 54.94 Mn.upf
CELL_PARAMETERS angstrom
-2.831 0.183 -2.836
-2.936 -2.731 -0.082
-4.858 2.214 2.156
ATOMIC_POSITIONS crystal
Y 0.000 0.000 0.000
V 0.201 0.201 0.396
V 0.799 0.799 0.604
Mn 0.500 0.500 0.500
```

4.
YMnV2 | GGA-PBE | relaxed Values from VASP.

Results
SG ... Fm-3m, No. 225
Energy ... -8.043 eV per atom
Total magnetic moment ... 2.72 Bohr magnetons per cell
Calculated volume ... 17.7 Å³ per atom

The structure in Quantum ESPRESSO input format:
```
&SYSTEM
  ibrav = 0, nat = 4, ntyp = 3
/
ATOMIC_SPECIES
V 50.94 V.upf
Y 88.91 Y.upf
Mn 54.94 Mn.upf
CELL_PARAMETERS angstrom
-2.536 -2.985 -2.501
-3.433 1.570 -2.710
0.448 -0.124 -4.624
ATOMIC_POSITIONS crystal
V 0.250 0.250 0.250
V 0.750 0.750 0.750
Y 0.500 0.500 0.500
Mn 0.000 0.000 0.000
```

5.
YZr2MnV | GGA-PBE | relaxed Values from VASP.

Results
SG ... P4/mmm, No. 123
Energy ... -7.581 eV per atom
Total magnetic moment ... 0.31 Bohr magnetons per cell
Calculated volume ... 23.5 Å³ per atom

The structure in Quantum ESPRESSO input format:
```
&SYSTEM
  ibrav = 0, nat = 5, ntyp = 4
/
ATOMIC_SPECIES
Y 88.91 Y.upf
Zr 91.22 Zr.upf
V 50.94 V.upf
Mn 54.94 Mn.upf
CELL_PARAMETERS angstrom
4.770 0.000 0.000
0.000 5.171 0.000
0.000 0.000 4.770
ATOMIC_POSITIONS crystal
Y 0.000 0.500 0.000
Zr 0.500 0.000 0.000
Zr 0.000 0.000 0.500
V 0.500 0.500 0.500
Mn 0.000 0.000 0.000
```

6.
MnVZn2 | GGA-PBE | relaxed Values from VASP.

Results
SG ... P4/mmm, No. 123
Energy ... -5.189 eV per atom
Total magnetic moment ... 0.96 Bohr magnetons per cell
Calculated volume ... 13.5 Å³ per atom

The structure in Quantum ESPRESSO input format:
```
&SYSTEM
  ibrav = 0, nat = 4, ntyp = 3
/
ATOMIC_SPECIES
V 50.94 V.upf
Zn 65.41 Zn.upf
Mn 54.94 Mn.upf
CELL_PARAMETERS angstrom
-2.156 -3.281 -1.391
0.477 -1.653 3.161
-3.042 1.477 1.231
ATOMIC_POSITIONS crystal
V 0.500 0.000 0.000
Zn 0.000 0.000 0.500
Zn 0.000 0.500 0.000
Mn 0.500 0.500 0.500
```

7.
MnVZn2 | GGA-PBE | relaxed Values from VASP.

Results
SG ... R-3m, No. 166
Energy ... -4.818 eV per atom
Total magnetic moment ... 1.76 Bohr magnetons per cell
Calculated volume ... 14.3 Å³ per atom

The structure in Quantum ESPRESSO input format:
```
&SYSTEM
  ibrav = 0, nat = 4, ntyp = 3
/
ATOMIC_SPECIES
V 50.94 V.upf
Zn 65.41 Zn.upf
Mn 54.94 Mn.upf
CELL_PARAMETERS angstrom
-1.263 0.149 -2.291
1.066 -1.045 -2.154
-4.460 -8.657 0.397
ATOMIC_POSITIONS crystal
V 0.000 0.000 0.000
Zn 0.909 0.909 0.272
Zn 0.091 0.091 0.728
Mn 0.500 0.500 0.500
```

8.
Mn2V2Zn | GGA-PBE | relaxed Values from VASP.

Results
SG ... P4/mbm, No. 127
Energy ... -7.366 eV per atom
Total magnetic moment ... 1.72 Bohr magnetons per cell
Calculated volume ... 13.3 Å³ per atom

The structure in Quantum ESPRESSO input format:
```
&SYSTEM
  ibrav = 0, nat = 10, ntyp = 3
/
ATOMIC_SPECIES
Mn 54.94 Mn.upf
V 50.94 V.upf
Zn 65.41 Zn.upf
CELL_PARAMETERS angstrom
6.919 0.000 0.000
0.000 6.919 0.000
0.000 0.000 2.771
ATOMIC_POSITIONS crystal
Mn 0.656 0.844 0.500
Mn 0.344 0.156 0.500
Mn 0.156 0.656 0.500
Mn 0.844 0.344 0.500
V 0.644 0.144 0.000
V 0.144 0.356 0.000
V 0.356 0.856 0.000
V 0.856 0.644 0.000
Zn 0.500 0.500 0.000
Zn 0.000 0.000 0.000
```

9.
Mn5V4Zn | GGA-PBE | relaxed Values from VASP.

Results
SG ... P4/mmm, No. 123
Energy ... -8.530 eV per atom
Total magnetic moment ... 2.74 Bohr magnetons per cell
Calculated volume ... 12.2 Å³ per atom

The structure in Quantum ESPRESSO input format:
```
&SYSTEM
  ibrav = 0, nat = 10, ntyp = 3
/
ATOMIC_SPECIES
V 50.94 V.upf
Mn 54.94 Mn.upf
Zn 65.41 Zn.upf
CELL_PARAMETERS angstrom
2.903 0.000 0.000
0.000 2.903 0.000
0.000 0.000 14.423
ATOMIC_POSITIONS crystal
V 0.000 0.000 0.200
V 0.000 0.000 0.401
V 0.000 0.000 0.599
V 0.000 0.000 0.800
Mn 0.500 0.500 0.302
Mn 0.500 0.500 0.893
Mn 0.500 0.500 0.500
Mn 0.500 0.500 0.698
Mn 0.500 0.500 0.107
Zn 0.000 0.000 0.000
```

10.
Mn2VZn | GGA-PBE | relaxed Values from VASP.

Results
SG ... I-42d, No. 122
Energy ... -6.713 eV per atom
Total magnetic moment ... 6.78 Bohr magnetons per cell
Calculated volume ... 14.1 Å³ per atom

The structure in Quantum ESPRESSO input format:
```
&SYSTEM
  ibrav = 0, nat = 8, ntyp = 3
/
ATOMIC_SPECIES
V 50.94 V.upf
Zn 65.41 Zn.upf
Mn 54.94 Mn.upf
CELL_PARAMETERS angstrom
6.578 0.000 0.000
0.000 6.578 0.000
3.289 3.289 2.601
ATOMIC_POSITIONS crystal
V 0.250 0.750 0.500
V 0.500 0.500 0.000
Zn 0.000 0.000 0.000
Zn 0.750 0.250 0.500
Mn 0.143 0.625 0.250
Mn 0.375 0.393 0.750
Mn 0.607 0.125 0.250
Mn 0.875 0.857 0.750
```

11.
Mn2VZn | GGA-PBE | relaxed Values from VASP.

Results
SG ... P4/mmm, No. 123
Energy ... -7.240 eV per atom
Total magnetic moment ... 3.00 Bohr magnetons per cell
Calculated volume ... 12.7 Å³ per atom

The structure in Quantum ESPRESSO input format:
```
&SYSTEM
  ibrav = 0, nat = 4, ntyp = 3
/
ATOMIC_SPECIES
V 50.94 V.upf
Mn 54.94 Mn.upf
Zn 65.41 Zn.upf
CELL_PARAMETERS angstrom
-0.855 2.763 -1.129
-2.631 0.430 3.044
2.865 1.795 2.223
ATOMIC_POSITIONS crystal
V 0.500 0.500 0.500
Mn 0.000 0.000 0.500
Mn 0.000 0.500 0.000
Zn 0.500 0.000 0.000
```

12.
MnVZn2 | GGA-PBE | relaxed Values from VASP.

Results
SG ... P4/mmm, No. 123
Energy ... -5.073 eV per atom
Total magnetic moment ... 2.10 Bohr magnetons per cell
Calculated volume ... 14.1 Å³ per atom

The structure in Quantum ESPRESSO input format:
```
&SYSTEM
  ibrav = 0, nat = 4, ntyp = 3
/
ATOMIC_SPECIES
V 50.94 V.upf
Zn 65.41 Zn.upf
Mn 54.94 Mn.upf
CELL_PARAMETERS angstrom
3.191 0.000 0.000
0.000 3.191 0.000
0.000 0.000 5.522
ATOMIC_POSITIONS crystal
V 0.500 0.500 0.000
Zn 0.000 0.000 0.253
Zn 0.000 0.000 0.747
Mn 0.500 0.500 0.500
```

13.
Mn2V2Zn | GGA-PBE | relaxed Values from VASP.

Results
SG ... P4/mbm, No. 127
Energy ... -7.465 eV per atom
Total magnetic moment ... 2.51 Bohr magnetons per cell
Calculated volume ... 13.1 Å³ per atom

The structure in Quantum ESPRESSO input format:
```
&SYSTEM
  ibrav = 0, nat = 10, ntyp = 3
/
ATOMIC_SPECIES
Zn 65.41 Zn.upf
V 50.94 V.upf
Mn 54.94 Mn.upf
CELL_PARAMETERS angstrom
6.791 0.000 0.000
0.000 6.791 0.000
0.000 0.000 2.845
ATOMIC_POSITIONS crystal
Zn 0.000 0.000 0.000
Zn 0.500 0.500 0.000
V 0.160 0.660 0.500
V 0.340 0.160 0.500
V 0.840 0.340 0.500
V 0.660 0.840 0.500
Mn 0.641 0.141 0.000
Mn 0.141 0.359 0.000
Mn 0.859 0.641 0.000
Mn 0.359 0.859 0.000
```

14.
Mn2VZn | GGA-PBE | relaxed Values from VASP.

Results
SG ... P4/mmm, No. 123
Energy ... -7.259 eV per atom
Total magnetic moment ... 3.08 Bohr magnetons per cell
Calculated volume ... 12.8 Å³ per atom

The structure in Quantum ESPRESSO input format:
```
&SYSTEM
  ibrav = 0, nat = 4, ntyp = 3
/
ATOMIC_SPECIES
Mn 54.94 Mn.upf
V 50.94 V.upf
Zn 65.41 Zn.upf
CELL_PARAMETERS angstrom
-2.038 1.960 -0.929
-0.966 -1.961 -2.019
-3.760 -2.093 3.831
ATOMIC_POSITIONS crystal
Mn 0.000 0.000 0.762
Mn 0.000 0.000 0.238
V 0.500 0.500 0.000
Zn 0.500 0.500 0.500
```

15.
MnVZn2 | GGA-PBE | relaxed Values from VASP.

Results
SG ... Fm-3m, No. 225
Energy ... -5.117 eV per atom
Total magnetic moment ... 1.47 Bohr magnetons per cell
Calculated volume ... 14.0 Å³ per atom

The structure in Quantum ESPRESSO input format:
```
&SYSTEM
  ibrav = 0, nat = 4, ntyp = 3
/
ATOMIC_SPECIES
Zn 65.41 Zn.upf
Mn 54.94 Mn.upf
V 50.94 V.upf
CELL_PARAMETERS angstrom
3.530 -0.326 2.418
0.207 -2.952 3.108
2.592 -3.393 -0.432
ATOMIC_POSITIONS crystal
Zn 0.250 0.250 0.250
Zn 0.750 0.750 0.750
Mn 0.500 0.500 0.500
V 0.000 0.000 0.000
```

16.
MnVZn2 | GGA-PBE | relaxed Values from VASP.

Results
SG ... I-42d, No. 122
Energy ... -4.747 eV per atom
Total magnetic moment ... 2.75 Bohr magnetons per cell
Calculated volume ... 15.2 Å³ per atom

The structure in Quantum ESPRESSO input format:
```
&SYSTEM
  ibrav = 0, nat = 8, ntyp = 3
/
ATOMIC_SPECIES
Zn 65.41 Zn.upf
Mn 54.94 Mn.upf
V 50.94 V.upf
CELL_PARAMETERS angstrom
6.967 0.000 0.000
0.000 6.967 0.000
3.483 3.483 2.513
ATOMIC_POSITIONS crystal
Zn 0.875 0.883 0.750
Zn 0.375 0.367 0.750
Zn 0.633 0.125 0.250
Zn 0.117 0.625 0.250
Mn 0.000 0.000 0.000
Mn 0.750 0.250 0.500
V 0.250 0.750 0.500
V 0.500 0.500 0.000
```

17.
ZrMn2V2 | GGA-PBE | relaxed Values from VASP.

Results
SG ... I4/mmm, No. 139
Energy ... -8.901 eV per atom
Total magnetic moment ... 0.74 Bohr magnetons per cell
Calculated volume ... 15.0 Å³ per atom

The structure in Quantum ESPRESSO input format:
```
&SYSTEM
  ibrav = 0, nat = 10, ntyp = 3
/
ATOMIC_SPECIES
Mn 54.94 Mn.upf
V 50.94 V.upf
Zr 91.22 Zr.upf
CELL_PARAMETERS angstrom
-3.592 -0.261 1.457
-1.273 -1.408 -3.390
4.362 -8.387 4.072
ATOMIC_POSITIONS crystal
Mn 0.750 0.250 0.500
Mn 0.932 0.932 0.863
Mn 0.250 0.750 0.500
Mn 0.068 0.068 0.137
V 0.187 0.187 0.373
V 0.500 0.000 0.000
V 0.000 0.500 0.000
V 0.813 0.813 0.627
Zr 0.372 0.372 0.745
Zr 0.628 0.628 0.255
```

18.
ZrMnV2 | GGA-PBE | relaxed Values from VASP.

Results
SG ... P4/mmm, No. 123
Energy ... -8.969 eV per atom
Total magnetic moment ... 0.00 Bohr magnetons per cell
Calculated volume ... 15.0 Å³ per atom

The structure in Quantum ESPRESSO input format:
```
&SYSTEM
  ibrav = 0, nat = 4, ntyp = 3
/
ATOMIC_SPECIES
Zr 91.22 Zr.upf
V 50.94 V.upf
Mn 54.94 Mn.upf
CELL_PARAMETERS angstrom
2.939 0.000 0.000
0.000 2.939 0.000
0.000 0.000 6.941
ATOMIC_POSITIONS crystal
Zr 0.500 0.500 0.500
V 0.000 0.000 0.803
V 0.000 0.000 0.197
Mn 0.500 0.500 0.000
```

19.
ZrMnV | GGA-PBE | relaxed Values from VASP.

Results
SG ... C2/m, No. 12
Energy ... -8.986 eV per atom
Total magnetic moment ... 0.00 Bohr magnetons per cell
Calculated volume ... 16.1 Å³ per atom

The structure in Quantum ESPRESSO input format:
```
&SYSTEM
  ibrav = 0, nat = 12, ntyp = 3
/
ATOMIC_SPECIES
V 50.94 V.upf
Zr 91.22 Zr.upf
Mn 54.94 Mn.upf
CELL_PARAMETERS angstrom
-2.348 -5.765 -1.193
3.350 -0.991 -1.805
5.208 3.204 7.909
ATOMIC_POSITIONS crystal
V 0.711 0.000 0.316
V 0.289 0.500 0.184
V 0.711 0.500 0.816
V 0.289 0.000 0.684
Zr 0.183 0.000 0.935
Zr 0.817 0.000 0.065
Zr 0.183 0.500 0.435
Zr 0.817 0.500 0.565
Mn 0.379 0.000 0.342
Mn 0.621 0.500 0.158
Mn 0.379 0.500 0.842
Mn 0.621 0.000 0.658
```

20.
ZrMn2V2 | GGA-PBE | relaxed Values from VASP.

Results
SG ... P4/mbm, No. 127
Energy ... -8.894 eV per atom
Total magnetic moment ... 1.04 Bohr magnetons per cell
Calculated volume ... 14.5 Å³ per atom

The structure in Quantum ESPRESSO input format:
```
&SYSTEM
  ibrav = 0, nat = 10, ntyp = 3
/
ATOMIC_SPECIES
Zr 91.22 Zr.upf
Mn 54.94 Mn.upf
V 50.94 V.upf
CELL_PARAMETERS angstrom
-5.775 -4.102 0.952
-0.706 -0.650 -7.083
1.653 -2.315 0.048
ATOMIC_POSITIONS crystal
Zr 0.500 0.500 0.000
Zr 0.000 0.000 0.000
Mn 0.136 0.364 0.000
Mn 0.636 0.136 0.000
Mn 0.364 0.864 0.000
Mn 0.864 0.636 0.000
V 0.856 0.356 0.500
V 0.644 0.856 0.500
V 0.356 0.144 0.500
V 0.144 0.644 0.500
```